[1]
Material: Rb4Pu3SnSe8
Method: DFT, PBE
State: optimized geometry

Calculated values
**Formation energy without anion corrections**: -1.259 eV/atom

```
data_Rb4Pu3SnSe8
_chemical_formula_sum 'Rb8 Pu6 Sn2 Se16'
_space_group_name_H-M_alt 'C 1 2/m 1'
_space_group_IT_number 12
_space_group_name_Hall '-C 2y'
_cell_length_a 15.1633
_cell_length_b 8.6918
_cell_length_c 9.3725
_cell_angle_alpha 90.00
_cell_angle_beta 122.72
_cell_angle_gamma 90.00
loop_
_atom_site_label
_atom_site_fract_x
_atom_site_fract_y
_atom_site_fract_z
Rb1 0.0000 0.0000 0.0000
Rb2 0.0000 0.5000 0.0000
Rb3 0.2500 0.2500 0.0000
Pu1 0.0000 0.0000 0.5000
Pu2 0.2500 0.2500 0.5000
Sn1 0.0000 0.5000 0.5000
Se1 0.0208 0.2420 0.3057
Se2 0.2320 0.0000 0.6942
Se3 0.2363 0.5000 0.6922
```

---

[2]
Material: ZrTc2Ru
Method: DFT, PBE
State: optimized geometry

Calculated values
**Formation energy**: 113 meV/atom
**Distance to the lowest polymorph of the same formula**: 0.174 eV per atom

```
data_ZrTc2Ru
_chemical_formula_sum 'Zr2 Tc4 Ru2'
_space_group_name_H-M_alt 'C m m m'
_space_group_IT_number 65
_space_group_name_Hall '-C 2 2'
_cell_length_a 5.5376
_cell_length_b 8.0147
_cell_length_c 2.8902
_cell_angle_alpha 90.00
_cell_angle_beta 90.00
_cell_angle_gamma 90.00
loop_
_atom_site_label
_atom_site_fract_x
_atom_site_fract_y
_atom_site_fract_z
Zr1 0.0000 0.0000 0.0000
Tc1 0.2500 0.2500 0.5000
Ru1 0.0000 0.5000 0.0000
```